VASP calculation (PBE) on SrTl8Bi2 after structural relaxation.

Values from the calculation:
Formation energy   0.0051 eV per atom
Size of the total moment   0.000 μB/f.u.

```
data_SrTl8Bi2
_cell_length_a 5.503
_cell_length_b 8.827
_cell_length_c 8.827
_cell_angle_alpha 76.60
_cell_angle_beta 81.29
_cell_angle_gamma 81.29
_symmetry_space_group_name_H-M 'P 1'
_symmetry_Int_Tables_number 1
_symmetry_space_group_name_Hall 'P 1'
loop_
_atom_site_label
_atom_site_type_symbol
_atom_site_fract_x
_atom_site_fract_y
_atom_site_fract_z
Tl1 Tl 0.224 0.350 0.803
Tl2 Tl 0.776 0.197 0.650
Bi1 Bi 0.583 0.850 0.850
Tl3 Tl 0.776 0.650 0.197
Tl4 Tl 0.701 0.596 0.596
Tl5 Tl 0.299 0.404 0.404
Tl6 Tl 0.138 0.726 0.726
Sr1 Sr 0.000 0.000 0.000
Tl7 Tl 0.862 0.274 0.274
Tl8 Tl 0.224 0.803 0.350
Bi2 Bi 0.417 0.150 0.150
```